# 1
The following is a DFT calculation (PBE) of a geometry-optimized K2H5Pt structure.

Computed properties:
Space group: P4/mmm
Offset from the most stable computed form, meV per atom: 0
Electronic total energy, eV/atom: -3.5136
Volume, Å³/f.u.: 124.0
Total moment, Bohr magnetons per cell: 0.00

Lattice parameters (Å, degrees): 3.8553 5.6715 5.6715 90.00 90.00 90.00
Element x y z (fractional)
H: 0.5000 0.0000 0.0000
H: 0.0000 0.7922 0.2078
H: 0.0000 0.2078 0.7922
H: 0.0000 0.7922 0.7922
H: 0.0000 0.2078 0.2078
K: 0.5000 0.0000 0.5000
K: 0.5000 0.5000 0.0000
Pt: 0.0000 0.0000 0.0000


# 2
The following is a DFT calculation (PBE) of a geometry-optimized K4H4Pt structure.

Computed properties:
Space group: I4/m
Electronic total energy, eV/atom: -2.8526
Volume, Å³/f.u.: 207.0
Total moment, Bohr magnetons per cell: 0.00

Lattice parameters (Å, degrees): 5.3588 6.7683 6.7683 80.98 66.68 66.68
Element x y z (fractional)
Pt: 0.0000 0.0000 0.0000
K: 0.2262 0.3912 0.1564
K: 0.7738 0.6088 0.8436
K: 0.3826 0.8436 0.3912
K: 0.6174 0.1564 0.6088
H: 0.0447 0.1409 0.7698
H: 0.8144 0.2302 0.1409
H: 0.1856 0.7698 0.8591
H: 0.9553 0.8591 0.2302


# 3
The following is a DFT calculation (PBE) of a geometry-optimized K5H8Pt structure.

Computed properties:
Space group: I-4
Electronic total energy, eV/atom: -2.8031
Volume, Å³/f.u.: 261.3
Total moment, Bohr magnetons per cell: 1.05

Lattice parameters (Å, degrees): 6.9800 6.9800 6.9800 110.88 106.68 110.88
Site moments in Bohr magnetons follow the coordinates.
Element x y z (fractional)
K: 0.7958 0.8496 0.2178  0.00
K: 0.3682 0.1504 0.9462  0.00
K: 0.0538 0.4220 0.2042  0.00
K: 0.7822 0.5780 0.6318  0.00
K: 0.5000 0.0000 0.5000  0.01
H: 0.2348 0.6987 0.9577  0.01
H: 0.4639 0.7230 0.7652  0.01
H: 0.2590 0.3013 0.5361  0.01
H: 0.6986 0.1962 0.2900  0.07
H: 0.0938 0.8038 0.5024  0.07
H: 0.0423 0.2770 0.7410  0.01
H: 0.4976 0.5913 0.3014  0.07
H: 0.7100 0.4087 0.9062  0.07
Pt: 0.2500 0.5000 0.7500  0.26


# 4
The following is a DFT calculation (PBE) of a geometry-optimized K2H3Pt structure.

Computed properties:
Space group: Immm
Electronic total energy, eV/atom: -3.3689
Volume, Å³/f.u.: 104.2
Total moment, Bohr magnetons per cell: 0.00

Lattice parameters (Å, degrees): 4.6170 3.6541 6.8400 105.49 109.72 90.00
Element x y z (fractional)
Pt: 0.0000 0.0000 0.0000
H: 0.8637 0.8637 0.7274
H: 0.0000 0.5000 0.0000
H: 0.1363 0.1363 0.2726
K: 0.3626 0.3626 0.7253
K: 0.6374 0.6374 0.2747


# 5
The following is a DFT calculation (PBE) of a geometry-optimized KH3Pt structure.

Computed properties:
Space group: Pm-3m
Offset from the most stable computed form, meV per atom: 1808
Electronic total energy, eV/atom: -1.8848
Volume, Å³/f.u.: 69.8
Total moment, Bohr magnetons per cell: 1.64

Lattice parameters (Å, degrees): 4.1181 4.1181 4.1181 90.00 90.00 90.00
Site moments in Bohr magnetons follow the coordinates.
Element x y z (fractional)
H: 0.5000 0.0000 0.0000  0.14
H: 0.0000 0.0000 0.5000  0.18
H: 0.0000 0.5000 0.0000  0.17
K: 0.0000 0.0000 0.0000  0.09
Pt: 0.5000 0.5000 0.5000  0.59


# 6
The following is a DFT calculation (PBE) of a geometry-optimized K2H6Pt structure.

Computed properties:
Space group: Fm-3m
Offset from the most stable computed form, meV per atom: 0
Electronic total energy, eV/atom: -3.5720
Volume, Å³/f.u.: 131.3
Total moment, Bohr magnetons per cell: 0.00

Lattice parameters (Å, degrees): 5.7057 5.7057 5.7057 60.00 60.00 60.00
Element x y z (fractional)
H: 0.2052 0.2052 0.7948
H: 0.7948 0.2052 0.2052
H: 0.7948 0.2052 0.7948
H: 0.2052 0.7948 0.7948
H: 0.7948 0.7948 0.2052
H: 0.2052 0.7948 0.2052
K: 0.2500 0.2500 0.2500
K: 0.7500 0.7500 0.7500
Pt: 0.0000 0.0000 0.0000


# 7
The following is a DFT calculation (PBE) of a geometry-optimized K4H5Pt structure.

Computed properties:
Space group: I4
Electronic total energy, eV/atom: -2.9180
Volume, Å³/f.u.: 203.8
Total moment, Bohr magnetons per cell: 0.86

Lattice parameters (Å, degrees): 5.8270 6.5931 6.5931 78.74 63.77 63.77
Site moments in Bohr magnetons follow the coordinates.
Element x y z (fractional)
K: 0.8007 0.8525 0.6019  0.02
K: 0.4026 0.3981 0.8525  0.02
K: 0.2551 0.1475 0.3981  0.02
K: 0.6532 0.6019 0.1475  0.02
H: 0.0518 0.7583 0.1472  0.01
H: 0.3422 0.0000 0.0000  0.00
H: 0.8101 0.1472 0.2417  0.01
H: 0.1990 0.8528 0.7583  0.01
H: 0.9573 0.2417 0.8528  0.01
Pt: 0.0384 0.0000 0.0000  0.07


# 8
The following is a DFT calculation (PBE) of a geometry-optimized K2H5Pt structure.

Computed properties:
Space group: I4mm
Offset from the most stable computed form, meV per atom: 85
Electronic total energy, eV/atom: -3.4290
Volume, Å³/f.u.: 131.9
Total moment, Bohr magnetons per cell: 0.97

Lattice parameters (Å, degrees): 5.6849 5.6849 5.6849 91.83 118.95 118.95
Site moments in Bohr magnetons follow the coordinates.
Element x y z (fractional)
H: 0.4068 0.2029 0.2029  0.00
H: 0.0000 0.2162 0.2162  0.08
H: 0.5932 0.7961 0.7961  0.00
H: 0.0000 0.2029 0.7961  0.00
H: 0.0000 0.7961 0.2029  0.00
Pt: 0.0000 0.0068 0.0068  0.30
K: 0.5000 0.2505 0.7505  0.01
K: 0.5000 0.7505 0.2505  0.01


# 9
The following is a DFT calculation (PBE) of a geometry-optimized K3H6Pt structure.

Computed properties:
Space group: P2_1/c
Electronic total energy, eV/atom: -3.2174
Volume, Å³/f.u.: 156.7
Total moment, Bohr magnetons per cell: 0.00

Lattice parameters (Å, degrees): 6.0551 6.0566 8.5472 90.00 89.99 90.00
Element x y z (fractional)
H: 0.4961 0.5058 0.6983
H: 0.8014 0.1983 0.0009
H: 0.3017 0.6985 0.4952
H: 0.3014 0.3017 0.5009
H: 0.0039 0.0058 0.8017
H: 0.5039 0.4942 0.3017
H: 0.8017 0.8015 0.9952
H: 0.9961 0.9942 0.1983
H: 0.1983 0.1985 0.0048
H: 0.6983 0.3015 0.5048
H: 0.6986 0.6983 0.4991
H: 0.1986 0.8017 0.9991
K: 0.5000 0.5000 0.0000
K: 0.5000 0.9992 0.2499
K: 0.0000 0.4992 0.2501
K: 0.0000 0.5008 0.7499
K: 0.5000 0.0008 0.7501
K: 0.0000 0.0000 0.5000
Pt: 0.0000 0.0000 0.0000
Pt: 0.5000 0.5000 0.5000


# 10
The following is a DFT calculation (PBE) of a geometry-optimized K2H7Pt2 structure.

Computed properties:
Space group: C2/m
Electronic total energy, eV/atom: -3.5479
Volume, Å³/f.u.: 133.3
Total moment, Bohr magnetons per cell: 0.00

Lattice parameters (Å, degrees): 5.6302 5.0572 5.0572 69.20 96.48 96.48
Element x y z (fractional)
H: 0.3427 0.4495 0.0679
H: 0.1191 0.7730 0.7730
H: 0.6573 0.9321 0.5505
H: 0.3427 0.0679 0.4495
H: 0.8809 0.2270 0.2270
H: 0.6573 0.5505 0.9321
H: 0.5000 0.0000 0.0000
K: 0.0000 0.2511 0.7489
K: 0.0000 0.7489 0.2511
Pt: 0.4210 0.7801 0.7801
Pt: 0.5790 0.2199 0.2199


# 11
The following is a DFT calculation (PBE) of a geometry-optimized K2H6Pt structure.

Computed properties:
Space group: P4_2/mnm
Offset from the most stable computed form, meV per atom: 101
Electronic total energy, eV/atom: -3.4707
Volume, Å³/f.u.: 138.6
Total moment, Bohr magnetons per cell: 0.00

Lattice parameters (Å, degrees): 5.1558 5.1558 10.4299 90.00 90.00 90.00
Element x y z (fractional)
Pt: 0.5000 0.5000 0.0000
Pt: 0.0000 0.0000 0.5000
K: 0.5000 0.5000 0.6614
K: 0.5000 0.5000 0.3386
K: 0.0000 0.0000 0.1614
K: 0.0000 0.0000 0.8386
H: 0.8406 0.1594 0.3882
H: 0.3406 0.3406 0.1118
H: 0.3406 0.3406 0.8882
H: 0.8406 0.1594 0.6118
H: 0.1594 0.8406 0.6118
H: 0.7745 0.7745 0.5000
H: 0.1594 0.8406 0.3882
H: 0.6594 0.6594 0.1118
H: 0.2745 0.7255 0.0000
H: 0.2255 0.2255 0.5000
H: 0.6594 0.6594 0.8882
H: 0.7255 0.2745 0.0000


# 12
The following is a DFT calculation (PBE) of a geometry-optimized KHPt3 structure.

Computed properties:
Space group: Pm-3m
Offset from the most stable computed form, meV per atom: 2312
Electronic total energy, eV/atom: -1.8911
Volume, Å³/f.u.: 136.0
Total moment, Bohr magnetons per cell: 1.79

Lattice parameters (Å, degrees): 5.1432 5.1432 5.1432 90.00 90.00 90.00
Site moments in Bohr magnetons follow the coordinates.
Element x y z (fractional)
K: 0.0000 0.0000 0.0000  -0.01
Pt: 0.0000 0.5000 0.0000  0.34
Pt: 0.0000 0.0000 0.5000  0.37
Pt: 0.5000 0.0000 0.0000  0.30
H: 0.5000 0.5000 0.5000  0.33


# 13
The following is a DFT calculation (PBE) of a geometry-optimized K5H6Pt structure.

Computed properties:
Space group: C2/m
Electronic total energy, eV/atom: -2.6717
Volume, Å³/f.u.: 233.1
Total moment, Bohr magnetons per cell: 0.66

Lattice parameters (Å, degrees): 6.3952 6.5630 6.6810 60.58 81.57 72.64
Site moments in Bohr magnetons follow the coordinates.
Element x y z (fractional)
H: 0.2701 0.8964 0.6708  0.02
H: 0.7299 0.4329 0.6708  0.02
H: 0.1530 0.1711 0.0000  0.00
H: 0.7299 0.1036 0.3292  0.02
H: 0.8470 0.8289 0.0000  0.00
H: 0.2701 0.5671 0.3292  0.02
K: 0.0000 0.3146 0.3707  0.00
K: 0.0000 0.6854 0.6293  0.00
K: 0.5000 0.8441 0.3118  0.01
K: 0.5000 0.5000 0.0000  0.00
K: 0.5000 0.1559 0.6882  0.01
Pt: 0.0000 0.0000 0.0000  0.32


# 14
The following is a DFT calculation (PBE) of a geometry-optimized K2HPt structure.

Computed properties:
Space group: I-42d
Offset from the most stable computed form, meV per atom: 0
Electronic total energy, eV/atom: -3.0316
Volume, Å³/f.u.: 115.2
Total moment, Bohr magnetons per cell: 0.00

Lattice parameters (Å, degrees): 11.3319 11.3319 8.2113 46.37 46.37 90.00
Element x y z (fractional)
K: 0.3322 0.6250 0.2500
K: 0.8750 0.6678 0.7500
K: 0.3750 0.5822 0.7500
K: 0.4178 0.1250 0.2500
Pt: 0.7500 0.2500 0.5000
Pt: 0.0000 0.0000 0.0000
H: 0.5000 0.5000 0.0000
H: 0.2500 0.7500 0.5000


# 15
The following is a DFT calculation (PBE) of a geometry-optimized KHPt3 structure.

Computed properties:
Space group: Pm-3m
Offset from the most stable computed form, meV per atom: 0
Electronic total energy, eV/atom: -4.2032
Volume, Å³/f.u.: 74.9
Total moment, Bohr magnetons per cell: 0.00

Lattice parameters (Å, degrees): 4.2157 4.2157 4.2157 90.00 90.00 90.00
Element x y z (fractional)
H: 0.0000 0.0000 0.0000
Pt: 0.5000 0.0000 0.0000
Pt: 0.0000 0.5000 0.0000
Pt: 0.0000 0.0000 0.5000
K: 0.5000 0.5000 0.5000


# 16
The following is a DFT calculation (PBE) of a geometry-optimized K3H5Pt structure.

Computed properties:
Space group: P4/mbm
Offset from the most stable computed form, meV per atom: 0
Electronic total energy, eV/atom: -3.2706
Volume, Å³/f.u.: 154.1
Total moment, Bohr magnetons per cell: 0.15

Lattice parameters (Å, degrees): 7.3543 7.3543 5.7000 90.00 90.00 90.00
Element x y z (fractional)
H: 0.3857 0.8857 0.7969
H: 0.5000 0.5000 0.5000
H: 0.8857 0.6143 0.7969
H: 0.1143 0.3857 0.2031
H: 0.6143 0.1143 0.2031
H: 0.3857 0.8857 0.2031
H: 0.1143 0.3857 0.7969
H: 0.0000 0.0000 0.5000
H: 0.6143 0.1143 0.7969
H: 0.8857 0.6143 0.2031
Pt: 0.5000 0.0000 0.0000
Pt: 0.0000 0.5000 0.0000
K: 0.1843 0.6843 0.5000
K: 0.0000 0.0000 0.0000
K: 0.8157 0.3157 0.5000
K: 0.6843 0.8157 0.5000
K: 0.3157 0.1843 0.5000
K: 0.5000 0.5000 0.0000


# 17
The following is a DFT calculation (PBE) of a geometry-optimized K3HPt structure.

Computed properties:
Space group: Pm-3m
Offset from the most stable computed form, meV per atom: 0
Electronic total energy, eV/atom: -2.5829
Volume, Å³/f.u.: 136.5
Total moment, Bohr magnetons per cell: 0.00

Lattice parameters (Å, degrees): 5.1485 5.1485 5.1485 90.00 90.00 90.00
Element x y z (fractional)
H: 0.0000 0.0000 0.0000
Pt: 0.5000 0.5000 0.5000
K: 0.0000 0.0000 0.5000
K: 0.5000 0.0000 0.0000
K: 0.0000 0.5000 0.0000


# 18
The following is a DFT calculation (PBE) of a geometry-optimized K2PuH12Pt3 structure.

Computed properties:
Space group: R-3m
Electronic total energy, eV/atom: -4.4692
Volume, Å³/f.u.: 211.9
Total moment, Bohr magnetons per cell: 5.51

Lattice parameters (Å, degrees): 6.3285 6.3285 6.3285 68.64 68.64 68.64
Site moments in Bohr magnetons follow the coordinates.
Element x y z (fractional)
H: 0.5936 0.1257 0.1257  -0.01
H: 0.0668 0.7287 0.7287  0.00
H: 0.1257 0.5936 0.1257  -0.01
H: 0.1257 0.1257 0.5936  -0.01
H: 0.9332 0.2713 0.2713  0.00
H: 0.2713 0.2713 0.9332  0.00
H: 0.8743 0.8743 0.4064  -0.01
H: 0.2713 0.9332 0.2713  0.00
H: 0.7287 0.7287 0.0668  0.00
H: 0.4064 0.8743 0.8743  -0.01
H: 0.7287 0.0668 0.7287  0.00
H: 0.8743 0.4064 0.8743  -0.01
K: 0.3873 0.3873 0.3873  0.00
K: 0.6127 0.6127 0.6127  0.00
Pt: 0.0000 0.5000 0.0000  0.03
Pt: 0.5000 0.0000 0.0000  0.03
Pt: 0.0000 0.0000 0.5000  0.03
Pu: 0.0000 0.0000 0.0000  5.26


# 19
The following is a DFT calculation (PBE) of a geometry-optimized K3RbH8Pt2 structure.

Computed properties:
Space group: P-3m1
Electronic total energy, eV/atom: -3.1398
Volume, Å³/f.u.: 282.7
Total moment, Bohr magnetons per cell: 0.00

Lattice parameters (Å, degrees): 5.5431 5.5431 10.6237 90.00 90.00 120.00
Element x y z (fractional)
K: 0.6667 0.3333 0.2080
K: 0.0000 0.0000 0.0000
K: 0.3333 0.6667 0.7920
Pt: 0.3333 0.6667 0.2086
Pt: 0.6667 0.3333 0.7914
H: 0.5985 0.7992 0.3061
H: 0.4015 0.2008 0.6939
H: 0.7992 0.5985 0.6939
H: 0.6667 0.3333 0.9514
H: 0.7992 0.2008 0.6939
H: 0.3333 0.6667 0.0486
H: 0.2008 0.7992 0.3061
H: 0.2008 0.4015 0.3061
Rb: 0.0000 0.0000 0.5000


# 20
The following is a DFT calculation (PBE) of a geometry-optimized K2Rb2H4Pt structure.

Computed properties:
Space group: I4/mmm
Electronic total energy, eV/atom: -2.7110
Volume, Å³/f.u.: 269.1
Total moment, Bohr magnetons per cell: 0.00

Lattice parameters (Å, degrees): 7.1151 7.1151 7.1151 97.94 115.53 115.53
Element x y z (fractional)
K: 0.0000 0.6866 0.6866
K: 0.0000 0.3134 0.3134
Rb: 0.5000 0.2500 0.7500
Rb: 0.5000 0.7500 0.2500
Pt: 0.0000 0.0000 0.0000
H: 0.3126 0.1563 0.1563
H: 0.0000 0.8437 0.1563
H: 0.0000 0.1563 0.8437
H: 0.6874 0.8437 0.8437


# 21
The following is a DFT calculation (PBE) of a geometry-optimized KRbH4Pt structure.

Computed properties:
Space group: Cmcm
Electronic total energy, eV/atom: -3.3374
Volume, Å³/f.u.: 105.1
Total moment, Bohr magnetons per cell: 0.00

Lattice parameters (Å, degrees): 5.6770 5.6440 7.1500 90.00 113.39 90.00
Element x y z (fractional)
H: 0.0000 0.5000 0.5000
H: 0.8769 0.2500 0.7539
H: 0.3805 0.7500 0.7611
H: 0.5000 0.0000 0.5000
H: 0.1231 0.7500 0.2461
H: 0.0000 0.0000 0.5000
H: 0.5000 0.5000 0.5000
H: 0.6195 0.2500 0.2389
Pt: 0.2513 0.7500 0.5025
Pt: 0.7487 0.2500 0.4975
Rb: 0.1016 0.2500 0.2031
Rb: 0.8984 0.7500 0.7969
K: 0.6173 0.7500 0.2346
K: 0.3827 0.2500 0.7654


# 22
The following is a DFT calculation (PBE) of a geometry-optimized K2RbH6Pt structure.

Computed properties:
Space group: P-3m1
Electronic total energy, eV/atom: -3.2648
Volume, Å³/f.u.: 211.6
Total moment, Bohr magnetons per cell: 0.52

Lattice parameters (Å, degrees): 7.5190 5.7003 5.7003 120.00 90.00 90.00
Element x y z (fractional)
H: 0.1298 0.2723 0.1362
H: 0.1298 0.8638 0.7277
H: 0.8702 0.1362 0.2723
H: 0.1298 0.8638 0.1362
H: 0.8702 0.7277 0.8638
H: 0.8702 0.1362 0.8638
K: 0.8544 0.6667 0.3333
K: 0.1456 0.3333 0.6667
Pt: 0.0000 0.0000 0.0000
Rb: 0.5000 0.0000 0.0000